Record 1
A plane-wave DFT calculation with PBE-GGA was carried out for an optimized crystal structure of AcDyInRh.

Calculated values
**SG**: No. 216
**Energy relative to the elements**: -0.389 eV per atom
**DOS at the Fermi energy**: 3.32 states/eV/f.u.

abc: 5.333 5.333 5.333
angles: 60.00 60.00 60.00
Positions (direct):
Ac  0.000  0.000  0.000
Dy  0.500  0.500  0.500
In  0.750  0.750  0.750
Rh  0.250  0.250  0.250



Record 2
A plane-wave DFT calculation with PBE-GGA was carried out for an optimized crystal structure of AcDyIn2S6.

Calculated values
**SG**: No. 146
**Formation energy from raw total energies**: -1.27 eV/atom

abc: 7.259 7.259 7.259
angles: 57.59 57.59 57.59
Positions (direct):
Ac  0.000  0.000  0.000
Dy  0.486  0.486  0.486
In  0.274  0.274  0.274
In  0.781  0.781  0.781
S  0.073  0.635  0.435
S  0.171  0.564  0.900
S  0.435  0.073  0.635
S  0.564  0.900  0.171
S  0.635  0.435  0.073
S  0.900  0.171  0.564



Record 3
A plane-wave DFT calculation with PBE-GGA was carried out for an optimized crystal structure of Ac2DyInS6.

Calculated values
**SG**: No. 146
**DOS at the Fermi energy**: 0.00 states/eV/f.u.
**Formation energy from raw total energies**: -1.70 eV/atom

abc: 7.330 7.330 7.330
angles: 59.02 59.02 59.02
Positions (direct):
Ac  0.000  0.000  0.000
Ac  0.497  0.497  0.497
Dy  0.718  0.718  0.718
In  0.218  0.218  0.218
S  0.071  0.863  0.434
S  0.357  0.564  0.940
S  0.434  0.071  0.863
S  0.564  0.940  0.357
S  0.863  0.434  0.071
S  0.940  0.357  0.564



Record 4
A plane-wave DFT calculation with PBE-GGA was carried out for an optimized crystal structure of AcDyIn2Se4.

Calculated values
**SG**: No. 10
**Formation energy from raw total energies**: -1.30 eV/atom

abc: 7.554 4.348 8.101
angles: 90.00 107.93 90.00
Positions (direct):
Ac  0.000  0.000  0.000
Dy  0.500  0.500  0.000
In  0.000  0.500  0.500
In  0.500  0.000  0.500
Se  0.259  0.500  0.218
Se  0.281  0.000  0.790
Se  0.719  0.000  0.210
Se  0.741  0.500  0.782



Record 5
A plane-wave DFT calculation with PBE-GGA was carried out for an optimized crystal structure of Ac2DyInSe5.

Calculated values
**SG**: No. 36
**DOS at the Fermi energy**: 1.37 states/eV/f.u.
**Formation energy from raw total energies**: -1.57 eV/atom

abc: 9.483 9.483 13.114
angles: 90.00 90.00 154.10
Positions (direct):
Ac  0.121  0.879  0.500
Ac  0.128  0.872  0.882
Ac  0.872  0.128  0.382
Ac  0.879  0.121  0.000
Dy  0.195  0.805  0.197
Dy  0.805  0.195  0.697
In  0.433  0.567  0.674
In  0.567  0.433  0.174
Se  0.029  0.971  0.289
Se  0.290  0.710  0.530
Se  0.299  0.701  0.851
Se  0.350  0.650  0.196
Se  0.492  0.508  0.486
Se  0.508  0.492  0.986
Se  0.650  0.350  0.696
Se  0.701  0.299  0.351
Se  0.710  0.290  0.030
Se  0.971  0.029  0.789



Record 6
A plane-wave DFT calculation with PBE-GGA was carried out for an optimized crystal structure of AcSmDyIn.

Calculated values
**SG**: No. 216
**Energy relative to the elements**: -0.052 eV per atom
**DOS at the Fermi energy**: 7.68 states/eV/f.u.

abc: 5.637 5.637 5.637
angles: 60.00 60.00 60.00
Positions (direct):
Ac  0.000  0.000  0.000
Sm  0.750  0.750  0.750
Dy  0.250  0.250  0.250
In  0.500  0.500  0.500



Record 7
A plane-wave DFT calculation with PBE-GGA was carried out for an optimized crystal structure of SrAcDyIn.

Calculated values
**SG**: No. 216
**Energy relative to the elements**: 0.050 eV per atom
**DOS at the Fermi energy**: 6.14 states/eV/f.u.

abc: 5.846 5.846 5.846
angles: 60.00 60.00 60.00
Positions (direct):
Sr  0.000  0.000  0.000
Ac  0.750  0.750  0.750
Dy  0.500  0.500  0.500
In  0.250  0.250  0.250



Record 8
A plane-wave DFT calculation with PBE-GGA was carried out for an optimized crystal structure of AcTbDy2In4.

Calculated values
**SG**: No. 166
**Energy relative to the elements**: -0.423 eV per atom
**DOS at the Fermi energy**: 4.49 states/eV/f.u.

abc: 9.489 9.489 9.489
angles: 33.36 33.36 33.36
Positions (direct):
Ac  0.000  0.000  0.000
Tb  0.500  0.500  0.500
Dy  0.249  0.249  0.249
Dy  0.751  0.751  0.751
In  0.128  0.128  0.128
In  0.379  0.379  0.379
In  0.621  0.621  0.621
In  0.872  0.872  0.872



Record 9
A plane-wave DFT calculation with PBE-GGA was carried out for an optimized crystal structure of Ac2DyIn3Te6.

Calculated values
**SG**: No. 12
**Formation energy from raw total energies**: -1.02 eV/atom

abc: 8.075 8.075 8.537
angles: 99.08 99.08 119.89
Positions (direct):
Ac  0.166  0.834  0.000
Ac  0.834  0.166  0.000
Dy  0.500  0.500  0.000
In  0.000  0.000  0.500
In  0.331  0.669  0.500
In  0.669  0.331  0.500
Te  0.111  0.425  0.774
Te  0.263  0.263  0.231
Te  0.425  0.111  0.774
Te  0.575  0.889  0.226
Te  0.737  0.737  0.769
Te  0.889  0.575  0.226



Record 10
A plane-wave DFT calculation with PBE-GGA was carried out for an optimized crystal structure of AcDyThIn.

Calculated values
**SG**: No. 216
**Energy relative to the elements**: 0.024 eV per atom
**DOS at the Fermi energy**: 5.13 states/eV/f.u.

abc: 5.640 5.640 5.640
angles: 60.00 60.00 60.00
Positions (direct):
Ac  0.000  0.000  0.000
Dy  0.750  0.750  0.750
Th  0.250  0.250  0.250
In  0.500  0.500  0.500



Record 11
A plane-wave DFT calculation with PBE-GGA was carried out for an optimized crystal structure of Ac3Dy2Tl4In2.

Calculated values
**SG**: No. 164
**Energy relative to the elements**: -0.240 eV per atom
**DOS at the Fermi energy**: 5.81 states/eV/f.u.

abc: 5.217 5.217 15.794
angles: 90.00 90.00 120.00
Positions (direct):
Ac  0.000  0.000  0.000
Ac  0.000  0.000  0.266
Ac  0.000  0.000  0.734
Dy  0.333  0.667  0.565
Dy  0.667  0.333  0.435
Tl  0.333  0.667  0.370
Tl  0.333  0.667  0.893
Tl  0.667  0.333  0.107
Tl  0.667  0.333  0.630
In  0.333  0.667  0.153
In  0.667  0.333  0.847



Record 12
A plane-wave DFT calculation with PBE-GGA was carried out for an optimized crystal structure of AcDyTmIn.

Calculated values
**SG**: No. 216
**Energy relative to the elements**: -0.012 eV per atom
**DOS at the Fermi energy**: 7.19 states/eV/f.u.

abc: 5.585 5.585 5.585
angles: 60.00 60.00 60.00
Positions (direct):
Ac  0.000  0.000  0.000
Dy  0.750  0.750  0.750
Tm  0.250  0.250  0.250
In  0.500  0.500  0.500



Record 13
A plane-wave DFT calculation with PBE-GGA was carried out for an optimized crystal structure of AcDyZnIn.

Calculated values
**SG**: No. 216
**Energy relative to the elements**: -0.312 eV per atom
**DOS at the Fermi energy**: 4.56 states/eV/f.u.

abc: 5.474 5.474 5.474
angles: 60.00 60.00 60.00
Positions (direct):
Ac  0.000  0.000  0.000
Dy  0.500  0.500  0.500
Zn  0.750  0.750  0.750
In  0.250  0.250  0.250



Record 14
A plane-wave DFT calculation with PBE-GGA was carried out for an optimized crystal structure of AcDyZn2In2.

Calculated values
**SG**: No. 164
**Energy relative to the elements**: -0.439 eV per atom
**DOS at the Fermi energy**: 3.73 states/eV/f.u.

abc: 4.742 4.742 7.907
angles: 90.00 90.00 120.00
Positions (direct):
Ac  0.000  0.000  0.000
Dy  0.000  0.000  0.500
Zn  0.333  0.667  0.694
Zn  0.667  0.333  0.306
In  0.333  0.667  0.280
In  0.667  0.333  0.720



Record 15
A plane-wave DFT calculation with PBE-GGA was carried out for an optimized crystal structure of AcDy2Ir.

Calculated values
**SG**: No. 166
**Energy relative to the elements**: -0.254 eV per atom
**DOS at the Fermi energy**: 2.95 states/eV/f.u.

abc: 10.926 10.926 10.926
angles: 20.81 20.81 20.81
Positions (direct):
Ac  0.000  0.000  0.000
Dy  0.119  0.119  0.119
Dy  0.881  0.881  0.881
Ir  0.500  0.500  0.500



Record 16
A plane-wave DFT calculation with PBE-GGA was carried out for an optimized crystal structure of Ac12DyIr7.

Calculated values
**SG**: No. 148
**Energy relative to the elements**: -0.570 eV per atom
**DOS at the Fermi energy**: 14.12 states/eV/f.u.

abc: 9.583 9.583 9.583
angles: 107.39 107.39 107.39
Positions (direct):
Ac  0.055  0.344  0.132
Ac  0.132  0.055  0.344
Ac  0.185  0.717  0.575
Ac  0.283  0.425  0.815
Ac  0.344  0.132  0.055
Ac  0.425  0.815  0.283
Ac  0.575  0.185  0.717
Ac  0.656  0.868  0.945
Ac  0.717  0.575  0.185
Ac  0.815  0.283  0.425
Ac  0.868  0.945  0.656
Ac  0.945  0.656  0.868
Dy  0.500  0.500  0.500
Ir  0.000  0.000  0.000
Ir  0.159  0.385  0.475
Ir  0.385  0.475  0.159
Ir  0.475  0.159  0.385
Ir  0.525  0.841  0.615
Ir  0.615  0.525  0.841
Ir  0.841  0.615  0.525



Record 17
A plane-wave DFT calculation with PBE-GGA was carried out for an optimized crystal structure of AcDyIr.

Calculated values
**SG**: No. 139
**Energy relative to the elements**: -0.374 eV per atom
**DOS at the Fermi energy**: 2.84 states/eV/f.u.

abc: 12.852 12.852 12.852
angles: 162.03 162.03 25.52
Positions (direct):
Ac  0.079  0.079  0.000
Ac  0.921  0.921  0.000
Dy  0.303  0.303  0.000
Dy  0.697  0.697  0.000
Ir  0.188  0.188  0.000
Ir  0.812  0.812  0.000



Record 18
A plane-wave DFT calculation with PBE-GGA was carried out for an optimized crystal structure of AcDyIr.

Calculated values
**SG**: No. 107
**Energy relative to the elements**: -0.427 eV per atom
**DOS at the Fermi energy**: 3.29 states/eV/f.u.

abc: 7.131 7.131 7.131
angles: 150.47 150.47 42.25
Positions (direct):
Ac  0.000  0.000  0.000
Dy  0.749  0.749  0.000
Ir  0.357  0.357  0.000



Record 19
A plane-wave DFT calculation with PBE-GGA was carried out for an optimized crystal structure of AcDy3Ir.

Calculated values
**SG**: No. 221
**Energy relative to the elements**: -0.328 eV per atom
**DOS at the Fermi energy**: 7.01 states/eV/f.u.

abc: 5.507 5.507 5.507
angles: 90.00 90.00 90.00
Positions (direct):
Ac  0.000  0.000  0.000
Dy  0.000  0.500  0.500
Dy  0.500  0.000  0.500
Dy  0.500  0.500  0.000
Ir  0.500  0.500  0.500



Record 20
A plane-wave DFT calculation with PBE-GGA was carried out for an optimized crystal structure of AcDyIr.

Calculated values
**SG**: No. 11
**Energy relative to the elements**: -0.615 eV per atom
**DOS at the Fermi energy**: 2.23 states/eV/f.u.

abc: 4.922 4.854 7.363
angles: 90.00 99.96 90.00
Positions (direct):
Ac  0.227  0.250  0.390
Ac  0.773  0.750  0.610
Dy  0.268  0.750  0.011
Dy  0.732  0.250  0.989
Ir  0.158  0.250  0.784
Ir  0.842  0.750  0.216



Record 21
A plane-wave DFT calculation with PBE-GGA was carried out for an optimized crystal structure of Ac4DyIr3.

Calculated values
**SG**: No. 9
**Energy relative to the elements**: -0.605 eV per atom
**DOS at the Fermi energy**: 4.24 states/eV/f.u.

abc: 8.016 8.016 10.997
angles: 110.63 110.63 55.73
Positions (direct):
Ac  0.026  0.358  0.419
Ac  0.162  0.838  0.500
Ac  0.358  0.026  0.919
Ac  0.420  0.766  0.204
Ac  0.617  0.965  0.605
Ac  0.766  0.420  0.704
Ac  0.838  0.162  0.000
Ac  0.965  0.617  0.105
Dy  0.228  0.576  0.805
Dy  0.576  0.228  0.305
Ir  0.208  0.213  0.679
Ir  0.213  0.208  0.179
Ir  0.588  0.589  0.951
Ir  0.589  0.588  0.451
Ir  0.972  0.998  0.245
Ir  0.998  0.972  0.745



Record 22
A plane-wave DFT calculation with PBE-GGA was carried out for an optimized crystal structure of AcDyIr.

Calculated values
**SG**: No. 216
**Energy relative to the elements**: -0.513 eV per atom
**DOS at the Fermi energy**: 3.37 states/eV/f.u.

abc: 5.026 5.026 5.026
angles: 60.00 60.00 60.00
Positions (direct):
Ac  0.000  0.000  0.000
Dy  0.500  0.500  0.500
Ir  0.250  0.250  0.250



Record 23
A plane-wave DFT calculation with PBE-GGA was carried out for an optimized crystal structure of AcDyIr.

Calculated values
**SG**: No. 14
**Energy relative to the elements**: -0.592 eV per atom
**DOS at the Fermi energy**: 1.76 states/eV/f.u.

abc: 6.718 7.257 10.107
angles: 90.00 127.11 90.00
Positions (direct):
Ac  0.149  0.084  0.385
Ac  0.149  0.416  0.885
Ac  0.851  0.584  0.115
Ac  0.851  0.916  0.615
Dy  0.380  0.580  0.615
Dy  0.380  0.920  0.115
Dy  0.620  0.080  0.885
Dy  0.620  0.420  0.385
Ir  0.364  0.739  0.355
Ir  0.364  0.761  0.855
Ir  0.636  0.239  0.145
Ir  0.636  0.261  0.645



Record 24
A plane-wave DFT calculation with PBE-GGA was carried out for an optimized crystal structure of AcDy2Ir.

Calculated values
**SG**: No. 123
**Energy relative to the elements**: -0.387 eV per atom
**DOS at the Fermi energy**: 5.01 states/eV/f.u.

abc: 3.567 3.567 9.141
angles: 90.00 90.00 90.00
Positions (direct):
Ac  0.000  0.000  0.000
Dy  0.500  0.500  0.326
Dy  0.500  0.500  0.674
Ir  0.000  0.000  0.500



Record 25
A plane-wave DFT calculation with PBE-GGA was carried out for an optimized crystal structure of AcDy3Ir8.

Calculated values
**SG**: No. 156
**Energy relative to the elements**: -0.710 eV per atom
**DOS at the Fermi energy**: 4.00 states/eV/f.u.

abc: 5.415 5.415 8.829
angles: 90.00 90.00 120.00
Positions (direct):
Ac  0.000  0.000  0.000
Dy  0.000  0.000  0.368
Dy  0.667  0.333  0.499
Dy  0.667  0.333  0.860
Ir  0.164  0.329  0.678
Ir  0.164  0.836  0.678
Ir  0.333  0.667  0.433
Ir  0.333  0.667  0.931
Ir  0.503  0.007  0.189
Ir  0.503  0.497  0.189
Ir  0.671  0.836  0.678
Ir  0.993  0.497  0.189